# 1
Entry from the Alexandria database: a geometry-optimized YMg2Cl structure (PBE-GGA).

a = 3.3905 Å, b = 3.3905 Å, c = 9.9686 Å
α = 90.00°, β = 90.00°, γ = 112.29°
Last column: nearest neighbours and their distance in Å.
Fractional positions:
Mg1 0.0000 0.0000 0.0116  6 Mg 3.07-3.39
Mg2 0.5000 0.5000 0.2548  6 Mg 3.07-3.39, 2 Y 3.22
Y1 0.0000 0.0000 0.5164  2 Cl 2.75
Cl1 0.5000 0.5000 0.7172  2 Y 2.75

Results
- Volume: 106.0 Å³ per cell
- SG: Cmm2 (35)
- Formation energy (no corrections): -0.5091 eV per atom
- Calculated total energy: -3.384 eV per atom
- Magnetic moment: 0.0000 μB/atom

=====

# 2
Entry from the Alexandria database: a geometry-optimized YMgCl structure (PBE-GGA).

a = 5.0542 Å, b = 5.0542 Å, c = 5.0542 Å
α = 60.00°, β = 60.00°, γ = 60.00°
Last column: nearest neighbours and their distance in Å.
Fractional positions:
Mg1 0.5000 0.5000 0.5000  4 Y 3.10
Y1 0.2500 0.2500 0.2500  4 Cl 3.10, 4 Mg 3.10
Cl1 0.0000 0.0000 0.0000  4 Y 3.10

Results
- Volume: 91.3 Å³ per cell
- SG: F-43m (216)
- Formation energy (no corrections): -0.0181 eV per atom
- Calculated total energy: -3.320 eV per atom
- Magnetic moment: 0.0000 μB/atom

=====

# 3
Entry from the Alexandria database: a geometry-optimized YMg3Cl structure (PBE-GGA).

a = 6.3064 Å, b = 6.3064 Å, c = 6.3064 Å
α = 90.00°, β = 90.00°, γ = 90.00°
Last column: nearest neighbours and their distance in Å.
Fractional positions:
Cl1 0.5000 0.5000 0.5000  12 Mg 4.46
Mg1 0.0000 0.0000 0.5000  2 Y 3.15
Mg2 0.5000 0.0000 0.0000  2 Y 3.15
Mg3 0.0000 0.5000 0.0000  2 Y 3.15
Y1 0.0000 0.0000 0.0000  6 Mg 3.15

Results
- Volume: 250.8 Å³ per cell
- SG: Pm-3m (221)
- Formation energy (no corrections): 0.7088 eV per atom
- Calculated total energy: -1.910 eV per atom
- Magnetic moment: 0.0000 μB/atom

=====

# 4
Entry from the Alexandria database: a geometry-optimized YMg2Cl structure (PBE-GGA).

a = 5.4021 Å, b = 5.4021 Å, c = 5.4021 Å
α = 60.00°, β = 60.00°, γ = 60.00°
Last column: nearest neighbours and their distance in Å.
Fractional positions:
Mg1 0.2500 0.2500 0.2500  4 Y 3.31, 4 Cl 3.31
Mg2 0.7500 0.7500 0.7500  4 Y 3.31, 4 Cl 3.31
Y1 0.5000 0.5000 0.5000  8 Mg 3.31
Cl1 0.0000 0.0000 0.0000  8 Mg 3.31

Results
- Volume: 111.5 Å³ per cell
- SG: Fm-3m (225)
- Formation energy (no corrections): 0.0935 eV per atom
- Calculated total energy: -2.781 eV per atom
- Magnetic moment: 0.0000 μB/atom

=====

# 5
Entry from the Alexandria database: a geometry-optimized Y2Mg2Cl structure (PBE-GGA).

a = 7.2667 Å, b = 7.2667 Å, c = 5.3797 Å
α = 90.00°, β = 90.00°, γ = 90.00°
Last column: nearest neighbours and their distance in Å.
Fractional positions:
Mg1 0.8585 0.3585 0.5000  1 Mg 2.91
Mg2 0.1415 0.6415 0.5000  1 Mg 2.91
Mg3 0.3585 0.1415 0.5000  1 Mg 2.91
Mg4 0.6415 0.8585 0.5000  1 Mg 2.91
Y1 0.8386 0.6614 0.0000  2 Cl 2.73
Y2 0.3386 0.8386 0.0000  2 Cl 2.73
Y3 0.1614 0.3386 0.0000  2 Cl 2.73
Y4 0.6614 0.1614 0.0000  2 Cl 2.73
Cl1 0.0000 0.0000 0.0000  4 Y 2.73
Cl2 0.5000 0.5000 0.0000  4 Y 2.73

Results
- Volume: 284.1 Å³ per cell
- SG: P4/mbm (127)
- Formation energy (no corrections): -0.4888 eV per atom
- Calculated total energy: -4.082 eV per atom
- Magnetic moment: 0.0000 μB/atom

=====

# 6
Entry from the Alexandria database: a geometry-optimized YMg2Cl structure (PBE-GGA).

a = 5.3700 Å, b = 3.4634 Å, c = 5.8300 Å
α = 90.27°, β = 90.00°, γ = 90.00°
Last column: nearest neighbours and their distance in Å.
Fractional positions:
Mg1 0.0000 0.1310 0.0469  2 Mg 3.03, 2 Y 3.25-3.28
Mg2 0.5000 0.1161 0.2873  2 Cl 2.69-2.72
Y1 0.0000 0.6264 0.5224  2 Cl 2.78
Cl1 0.5000 0.6266 0.6434  2 Mg 2.69-2.72, 2 Y 2.78

Results
- Volume: 108.4 Å³ per cell
- SG: Pm (6)
- Formation energy (no corrections): -0.4836 eV per atom
- Calculated total energy: -3.359 eV per atom
- Magnetic moment: 0.0000 μB/atom

=====

# 7
Entry from the Alexandria database: a geometry-optimized YMg2Cl structure (PBE-GGA).

a = 10.0755 Å, b = 10.0755 Å, c = 10.0755 Å
α = 20.18°, β = 20.18°, γ = 20.18°
Last column: nearest neighbours and their distance in Å.
Fractional positions:
Y1 0.4941 0.4941 0.4941  3 Cl 2.80
Cl1 0.7624 0.7624 0.7624  3 Y 2.80
Mg1 0.9961 0.9961 0.9961  9 Mg 3.17-3.53
Mg2 0.2474 0.2474 0.2474  9 Mg 3.17-3.53, 3 Y 3.28

Results
- Volume: 106.5 Å³ per cell
- SG: R3m (160)
- Formation energy (no corrections): -0.5869 eV per atom
- Calculated total energy: -3.462 eV per atom
- Magnetic moment: 0.0009 μB/atom

=====

# 8
Entry from the Alexandria database: a geometry-optimized YMg2Cl structure (PBE-GGA).

a = 6.0193 Å, b = 6.0193 Å, c = 5.7757 Å
α = 68.55°, β = 68.55°, γ = 33.16°
Last column: nearest neighbours and their distance in Å.
Fractional positions:
Mg1 0.7598 0.7598 0.7601  2 Cl 2.97
Mg2 0.9838 0.9838 0.0327  3 Cl 3.22-3.31, 4 Y 3.35-3.47, 5 Mg 3.43-3.50
Cl1 0.2191 0.2191 0.2035  2 Y 2.75, 2 Mg 2.97
Y1 0.5372 0.5372 0.5037  2 Cl 2.75

Results
- Volume: 105.8 Å³ per cell
- SG: Cm (8)
- Formation energy (no corrections): -0.4629 eV per atom
- Calculated total energy: -3.338 eV per atom
- Magnetic moment: 0.0000 μB/atom

=====

# 9
Entry from the Alexandria database: a geometry-optimized YMg2Cl structure (PBE-GGA).

a = 3.2926 Å, b = 4.9425 Å, c = 6.1199 Å
α = 90.00°, β = 90.00°, γ = 90.00°
Last column: nearest neighbours and their distance in Å.
Fractional positions:
Y1 0.5000 0.0000 0.5000  4 Cl 2.97, 2 Y 3.29
Mg1 0.0000 0.0000 0.0000  6 Mg 2.97-3.29
Mg2 0.5000 0.5000 0.0000  6 Mg 2.97-3.29
Cl1 0.0000 0.5000 0.5000  4 Y 2.97, 2 Cl 3.29

Results
- Volume: 99.6 Å³ per cell
- SG: Pmmm (47)
- Formation energy (no corrections): -0.4527 eV per atom
- Calculated total energy: -3.328 eV per atom
- Magnetic moment: 0.0000 μB/atom

=====

# 10
Entry from the Alexandria database: a geometry-optimized Y2Mg2Cl structure (PBE-GGA).

a = 7.3695 Å, b = 7.3695 Å, c = 5.1285 Å
α = 90.00°, β = 90.00°, γ = 90.00°
Last column: nearest neighbours and their distance in Å.
Fractional positions:
Cl1 0.5000 0.5000 0.0000  4 Mg 2.84
Cl2 0.0000 0.0000 0.0000  4 Mg 2.84
Y1 0.1531 0.6531 0.5000  1 Y 3.19, 6 Mg 3.34-3.36
Y2 0.8469 0.3469 0.5000  1 Y 3.19, 6 Mg 3.34-3.36
Y3 0.3469 0.1531 0.5000  1 Y 3.19, 6 Mg 3.34-3.36
Y4 0.6531 0.8469 0.5000  1 Y 3.19, 6 Mg 3.34-3.36
Mg1 0.6418 0.1418 0.0000  2 Cl 2.84, 1 Mg 2.96
Mg2 0.3582 0.8582 0.0000  2 Cl 2.84, 1 Mg 2.96
Mg3 0.1418 0.3582 0.0000  2 Cl 2.84, 1 Mg 2.96
Mg4 0.8582 0.6418 0.0000  2 Cl 2.84, 1 Mg 2.96

Results
- Volume: 278.5 Å³ per cell
- SG: P4/mbm (127)
- Formation energy (no corrections): -0.1735 eV per atom
- Calculated total energy: -3.766 eV per atom
- Magnetic moment: 0.0000 μB/atom

=====

# 11
Entry from the Alexandria database: a geometry-optimized YMg2Cl structure (PBE-GGA).

a = 5.8016 Å, b = 5.8016 Å, c = 5.8016 Å
α = 133.76°, β = 133.76°, γ = 67.47°
Last column: nearest neighbours and their distance in Å.
Fractional positions:
Mg1 0.2500 0.7500 0.5000  4 Cl 3.22, 4 Mg 3.32, 4 Y 3.32
Mg2 0.0000 0.0000 0.0000  4 Y 3.22, 4 Cl 3.32, 4 Mg 3.32
Y1 0.5000 0.5000 0.0000  8 Mg 3.22-3.32, 4 Cl 3.32
Cl1 0.7500 0.2500 0.5000  8 Mg 3.22-3.32, 4 Y 3.32

Results
- Volume: 100.2 Å³ per cell
- SG: I-4m2 (119)
- Formation energy (no corrections): -0.2808 eV per atom
- Calculated total energy: -3.156 eV per atom
- Magnetic moment: 0.0007 μB/atom

=====

# 12
Entry from the Alexandria database: a geometry-optimized YMg3Cl structure (PBE-GGA).

a = 5.1456 Å, b = 5.1456 Å, c = 5.1456 Å
α = 90.00°, β = 90.00°, γ = 90.00°
Last column: nearest neighbours and their distance in Å.
Fractional positions:
Mg1 0.5000 0.0000 0.0000  2 Cl 2.57
Mg2 0.0000 0.5000 0.0000  2 Cl 2.57
Mg3 0.0000 0.0000 0.5000  2 Cl 2.57
Cl1 0.0000 0.0000 0.0000  6 Mg 2.57
Y1 0.5000 0.5000 0.5000  12 Mg 3.64

Results
- Volume: 136.2 Å³ per cell
- SG: Pm-3m (221)
- Formation energy (no corrections): -0.0186 eV per atom
- Calculated total energy: -2.638 eV per atom
- Magnetic moment: 0.0000 μB/atom

=====

# 13
Entry from the Alexandria database: a geometry-optimized YMg2Cl structure (PBE-GGA).

a = 6.5532 Å, b = 6.5532 Å, c = 6.5532 Å
α = 143.73°, β = 143.73°, γ = 52.23°
Last column: nearest neighbours and their distance in Å.
Fractional positions:
Y1 0.2500 0.7500 0.5000  4 Cl 2.88
Mg1 0.0000 0.0000 0.0000  4 Mg 2.88
Mg2 0.5000 0.5000 0.0000  4 Mg 2.88
Cl1 0.7500 0.2500 0.5000  4 Y 2.88

Results
- Volume: 97.9 Å³ per cell
- SG: I4/mmm (139)
- Formation energy (no corrections): -0.3999 eV per atom
- Calculated total energy: -3.275 eV per atom
- Magnetic moment: 0.0000 μB/atom

=====

# 14
Entry from the Alexandria database: a geometry-optimized YMg2Cl structure (PBE-GGA).

a = 6.2616 Å, b = 4.0187 Å, c = 4.0187 Å
α = 90.00°, β = 90.00°, γ = 90.00°
Last column: nearest neighbours and their distance in Å.
Fractional positions:
Mg1 0.0000 0.0000 0.0000  4 Mg 2.84
Mg2 0.0000 0.5000 0.5000  4 Mg 2.84
Y1 0.5000 0.5000 0.0000  4 Cl 2.84
Cl1 0.5000 0.0000 0.5000  4 Y 2.84

Results
- Volume: 101.1 Å³ per cell
- SG: P4/mmm (123)
- Formation energy (no corrections): -0.3678 eV per atom
- Calculated total energy: -3.243 eV per atom
- Magnetic moment: 0.0000 μB/atom

=====

Number 1: calculated density 2.7 g/cm³. Number 2: calculated density 2.7 g/cm³. Number 3: calculated density 1.3 g/cm³. Number 4: calculated density 2.6 g/cm³. Number 5: calculated density 3.1 g/cm³. Number 6: calculated density 2.6 g/cm³. Number 7: calculated density 2.7 g/cm³. Number 8: calculated density 2.7 g/cm³. Number 9: calculated density 2.9 g/cm³. Number 10: calculated density 3.1 g/cm³. Number 11: calculated density 2.9 g/cm³. Number 12: calculated density 2.4 g/cm³. Number 13: calculated density 2.9 g/cm³. Number 14: calculated density 2.8 g/cm³.